KSr3V4O12 (PBE+U, optimized geometry); crystal system = trigonal; space-group type = No. 155; total energy = -6.852 eV/atom
1.0
7.644 -0.133 -0.185
-1.971 7.386 -0.185
-1.971 -2.520 6.946
O V Sr K
12 4 3 1
Cartesian
4.734 -1.330 4.261
0.479 3.439 3.288
-1.033 0.270 6.484
-2.432 2.684 5.406
0.511 6.446 1.169
1.851 -1.755 6.254
1.851 0.953 4.305
3.191 5.670 0.091
5.851 3.359 0.321
6.133 0.459 2.314
-2.149 5.495 3.288
3.222 2.707 2.271
-2.401 1.311 6.440
1.851 2.366 3.288
1.851 6.747 0.135
6.102 -0.959 3.288
2.313 -1.457 3.768
-1.971 2.972 2.992
3.360 3.217 -0.185
0.000 0.000 0.000